DFT (PBE-GGA) results for a relaxed Na2PaIrO8 crystal.

Cell and atoms, written as POSCAR:
```
Na2PaIrO8
1.0
5.143 0.000 0.000
0.000 6.623 0.000
-0.206 0.000 5.150
Na Pa Ir O
2 1 1 8
direct
0.000 0.243 0.000
0.000 0.757 0.000
0.500 0.500 0.500
0.500 0.000 0.500
0.228 0.500 0.227
0.246 0.000 0.246
0.327 0.218 0.672
0.327 0.782 0.672
0.673 0.218 0.328
0.673 0.782 0.328
0.754 0.000 0.754
0.772 0.500 0.773
```

## Properties
Its magnetization is 0.4 μB per cell. For the total energy, the calculation gives -6.6268 eV per atom. For the mass density, the calculation gives 5.7 g cm⁻³.